# Pm2ThGa4

A geometry-optimized Pm2ThGa4 structure (PBE-GGA, Alexandria via LeMat-Bulk).

```
Pm2ThGa4
1.0
-3.626 -1.568 1.407
2.126 -2.047 3.198
-0.346 9.306 3.226
Pm Th Ga
2 1 4
direct
0.184 0.184 0.368
0.816 0.816 0.632
0.500 0.000 0.000
0.357 0.357 0.714
0.934 0.434 0.868
0.643 0.643 0.286
0.066 0.566 0.132
```

- ΔE_f: -0.63 eV per atom
- N(E_F): 4.76 states/eV/f.u.